# 1
## Eu2CdBi (PBE)

Data for a relaxed Eu2CdBi crystal.

ΔE to the lowest computed polymorph   27.7 meV/atom
Electronic total energy   -6.937 eV per atom
Space group   No. 225
Calculated formation energy   -601 meV per atom

Cell lengths 7.9881, 7.9881, 7.9881 Å; angles 90.00, 90.00, 90.00 degrees
Last column: nearest neighbours and their distance in Å.
Atoms (fractional coordinates):
1 Eu 0.2500 0.2500 0.2500  4 Cd 3.46, 4 Bi 3.46
2 Eu 0.2500 0.2500 0.7500  4 Bi 3.46, 4 Cd 3.46
3 Eu 0.2500 0.7500 0.2500  4 Bi 3.46, 4 Cd 3.46
4 Eu 0.2500 0.7500 0.7500  4 Cd 3.46, 4 Bi 3.46
5 Eu 0.7500 0.2500 0.2500  4 Bi 3.46, 4 Cd 3.46
6 Eu 0.7500 0.2500 0.7500  4 Cd 3.46, 4 Bi 3.46
7 Eu 0.7500 0.7500 0.2500  4 Cd 3.46, 4 Bi 3.46
8 Eu 0.7500 0.7500 0.7500  4 Bi 3.46, 4 Cd 3.46
9 Cd 0.0000 0.0000 0.0000  8 Eu 3.46
10 Cd 0.0000 0.5000 0.5000  8 Eu 3.46
11 Cd 0.5000 0.0000 0.5000  8 Eu 3.46
12 Cd 0.5000 0.5000 0.0000  8 Eu 3.46
13 Bi 0.0000 0.0000 0.5000  8 Eu 3.46
14 Bi 0.0000 0.5000 0.0000  8 Eu 3.46
15 Bi 0.5000 0.0000 0.0000  8 Eu 3.46
16 Bi 0.5000 0.5000 0.5000  8 Eu 3.46

***

# 2
## EuCdBi (PBE)

Data for a relaxed EuCdBi crystal.

Electronic total energy   -5.415 eV per atom
Space group   No. 107
Calculated formation energy   -391 meV per atom

Cell lengths 4.0127, 4.0127, 11.4132 Å; angles 90.00, 90.00, 90.00 degrees
Last column: nearest neighbours and their distance in Å.
Atoms (fractional coordinates):
1 Eu 0.0000 0.0000 0.0000  5 Cd 3.47-3.71, 5 Bi 3.54-3.59
2 Eu 0.5000 0.5000 0.5000  5 Cd 3.47-3.71, 5 Bi 3.54-3.59
3 Cd 0.0000 0.0000 0.6751  4 Bi 3.26, 4 Eu 3.47
4 Cd 0.5000 0.5000 0.1751  4 Bi 3.26, 4 Eu 3.47
5 Bi 0.0000 0.0000 0.3149  4 Cd 3.26, 5 Eu 3.54-3.59
6 Bi 0.5000 0.5000 0.8149  4 Cd 3.26, 5 Eu 3.54-3.59

***

# 3
## EuCdGaBi (PBE)

Data for a relaxed EuCdGaBi crystal.

Electronic total energy   -4.819 eV per atom
Space group   No. 216
Calculated formation energy   -295 meV per atom

Cell lengths 7.6064, 7.6064, 7.6064 Å; angles 90.00, 90.00, 90.00 degrees
Last column: nearest neighbours and their distance in Å.
Atoms (fractional coordinates):
1 Eu 0.0000 0.0000 0.0000  4 Cd 3.29, 4 Ga 3.29
2 Eu 0.0000 0.5000 0.5000  4 Cd 3.29, 4 Ga 3.29
3 Eu 0.5000 0.0000 0.5000  4 Cd 3.29, 4 Ga 3.29
4 Eu 0.5000 0.5000 0.0000  4 Cd 3.29, 4 Ga 3.29
5 Cd 0.2500 0.2500 0.2500  4 Bi 3.29, 4 Eu 3.29
6 Cd 0.2500 0.7500 0.7500  4 Bi 3.29, 4 Eu 3.29
7 Cd 0.7500 0.2500 0.7500  4 Bi 3.29, 4 Eu 3.29
8 Cd 0.7500 0.7500 0.2500  4 Bi 3.29, 4 Eu 3.29
9 Ga 0.2500 0.2500 0.7500  4 Bi 3.29, 4 Eu 3.29
10 Ga 0.2500 0.7500 0.2500  4 Bi 3.29, 4 Eu 3.29
11 Ga 0.7500 0.2500 0.2500  4 Bi 3.29, 4 Eu 3.29
12 Ga 0.7500 0.7500 0.7500  4 Bi 3.29, 4 Eu 3.29
13 Bi 0.0000 0.0000 0.5000  4 Ga 3.29, 4 Cd 3.29
14 Bi 0.0000 0.5000 0.0000  4 Ga 3.29, 4 Cd 3.29
15 Bi 0.5000 0.0000 0.0000  4 Ga 3.29, 4 Cd 3.29
16 Bi 0.5000 0.5000 0.5000  4 Ga 3.29, 4 Cd 3.29

***

# 4
## EuCdHgBi (PBE)

Data for a relaxed EuCdHgBi crystal.

Electronic total energy   -4.238 eV per atom
Space group   No. 216
Calculated formation energy   -395 meV per atom

Cell lengths 7.7576, 7.7576, 7.7576 Å; angles 90.00, 90.00, 90.00 degrees
Last column: nearest neighbours and their distance in Å.
Atoms (fractional coordinates):
1 Eu 0.0000 0.0000 0.0000  4 Hg 3.36, 4 Bi 3.36
2 Eu 0.0000 0.5000 0.5000  4 Hg 3.36, 4 Bi 3.36
3 Eu 0.5000 0.0000 0.5000  4 Hg 3.36, 4 Bi 3.36
4 Eu 0.5000 0.5000 0.0000  4 Hg 3.36, 4 Bi 3.36
5 Cd 0.0000 0.0000 0.5000  4 Bi 3.36, 4 Hg 3.36
6 Cd 0.0000 0.5000 0.0000  4 Bi 3.36, 4 Hg 3.36
7 Cd 0.5000 0.0000 0.0000  4 Bi 3.36, 4 Hg 3.36
8 Cd 0.5000 0.5000 0.5000  4 Bi 3.36, 4 Hg 3.36
9 Hg 0.2500 0.2500 0.2500  4 Cd 3.36, 4 Eu 3.36
10 Hg 0.2500 0.7500 0.7500  4 Cd 3.36, 4 Eu 3.36
11 Hg 0.7500 0.2500 0.7500  4 Cd 3.36, 4 Eu 3.36
12 Hg 0.7500 0.7500 0.2500  4 Cd 3.36, 4 Eu 3.36
13 Bi 0.2500 0.2500 0.7500  4 Eu 3.36, 4 Cd 3.36
14 Bi 0.2500 0.7500 0.2500  4 Eu 3.36, 4 Cd 3.36
15 Bi 0.7500 0.2500 0.2500  4 Eu 3.36, 4 Cd 3.36
16 Bi 0.7500 0.7500 0.7500  4 Eu 3.36, 4 Cd 3.36

***

# 5
## EuLuCdBi (PBE)

Data for a relaxed EuLuCdBi crystal.

Electronic total energy   -5.303 eV per atom
Space group   No. 216
Calculated formation energy   -405 meV per atom

Cell lengths 7.7458, 7.7458, 7.7458 Å; angles 90.00, 90.00, 90.00 degrees
Last column: nearest neighbours and their distance in Å.
Atoms (fractional coordinates):
1 Eu 0.0000 0.0000 0.0000  4 Cd 3.35, 4 Bi 3.35
2 Eu 0.0000 0.5000 0.5000  4 Cd 3.35, 4 Bi 3.35
3 Eu 0.5000 0.0000 0.5000  4 Cd 3.35, 4 Bi 3.35
4 Eu 0.5000 0.5000 0.0000  4 Cd 3.35, 4 Bi 3.35
5 Lu 0.0000 0.0000 0.5000  4 Cd 3.35, 4 Bi 3.35
6 Lu 0.0000 0.5000 0.0000  4 Cd 3.35, 4 Bi 3.35
7 Lu 0.5000 0.0000 0.0000  4 Cd 3.35, 4 Bi 3.35
8 Lu 0.5000 0.5000 0.5000  4 Cd 3.35, 4 Bi 3.35
9 Cd 0.2500 0.2500 0.2500  4 Eu 3.35, 4 Lu 3.35
10 Cd 0.2500 0.7500 0.7500  4 Eu 3.35, 4 Lu 3.35
11 Cd 0.7500 0.2500 0.7500  4 Eu 3.35, 4 Lu 3.35
12 Cd 0.7500 0.7500 0.2500  4 Eu 3.35, 4 Lu 3.35
13 Bi 0.2500 0.2500 0.7500  4 Eu 3.35, 4 Lu 3.35
14 Bi 0.2500 0.7500 0.2500  4 Eu 3.35, 4 Lu 3.35
15 Bi 0.7500 0.2500 0.2500  4 Eu 3.35, 4 Lu 3.35
16 Bi 0.7500 0.7500 0.7500  4 Eu 3.35, 4 Lu 3.35

***

# 6
## EuMgCdBi (PBE)

Data for a relaxed EuMgCdBi crystal.

Electronic total energy   -4.514 eV per atom
Space group   No. 216
Calculated formation energy   -348 meV per atom

Cell lengths 7.7104, 7.7104, 7.7104 Å; angles 90.00, 90.00, 90.00 degrees
Last column: nearest neighbours and their distance in Å.
Atoms (fractional coordinates):
1 Eu 0.0000 0.0000 0.0000  4 Bi 3.34, 4 Cd 3.34
2 Eu 0.0000 0.5000 0.5000  4 Bi 3.34, 4 Cd 3.34
3 Eu 0.5000 0.0000 0.5000  4 Bi 3.34, 4 Cd 3.34
4 Eu 0.5000 0.5000 0.0000  4 Bi 3.34, 4 Cd 3.34
5 Mg 0.0000 0.0000 0.5000  4 Cd 3.34, 4 Bi 3.34
6 Mg 0.0000 0.5000 0.0000  4 Cd 3.34, 4 Bi 3.34
7 Mg 0.5000 0.0000 0.0000  4 Cd 3.34, 4 Bi 3.34
8 Mg 0.5000 0.5000 0.5000  4 Cd 3.34, 4 Bi 3.34
9 Cd 0.2500 0.2500 0.2500  4 Eu 3.34, 4 Mg 3.34
10 Cd 0.2500 0.7500 0.7500  4 Mg 3.34, 4 Eu 3.34
11 Cd 0.7500 0.2500 0.7500  4 Mg 3.34, 4 Eu 3.34
12 Cd 0.7500 0.7500 0.2500  4 Mg 3.34, 4 Eu 3.34
13 Bi 0.2500 0.2500 0.7500  4 Mg 3.34, 4 Eu 3.34
14 Bi 0.2500 0.7500 0.2500  4 Mg 3.34, 4 Eu 3.34
15 Bi 0.7500 0.2500 0.2500  4 Mg 3.34, 4 Eu 3.34
16 Bi 0.7500 0.7500 0.7500  4 Mg 3.34, 4 Eu 3.34

***

# 7
## NaEuCdBi (PBE)

Data for a relaxed NaEuCdBi crystal.

Electronic total energy   -4.583 eV per atom
Space group   No. 216
Calculated formation energy   -486 meV per atom

Cell lengths 7.8281, 7.8281, 7.8281 Å; angles 90.00, 90.00, 90.00 degrees
Last column: nearest neighbours and their distance in Å.
Atoms (fractional coordinates):
1 Na 0.0000 0.0000 0.0000  4 Cd 3.39, 4 Bi 3.39
2 Na 0.0000 0.5000 0.5000  4 Cd 3.39, 4 Bi 3.39
3 Na 0.5000 0.0000 0.5000  4 Cd 3.39, 4 Bi 3.39
4 Na 0.5000 0.5000 0.0000  4 Cd 3.39, 4 Bi 3.39
5 Eu 0.0000 0.0000 0.5000  4 Bi 3.39, 4 Cd 3.39
6 Eu 0.0000 0.5000 0.0000  4 Bi 3.39, 4 Cd 3.39
7 Eu 0.5000 0.0000 0.0000  4 Bi 3.39, 4 Cd 3.39
8 Eu 0.5000 0.5000 0.5000  4 Bi 3.39, 4 Cd 3.39
9 Cd 0.2500 0.2500 0.7500  4 Na 3.39, 4 Eu 3.39
10 Cd 0.2500 0.7500 0.2500  4 Na 3.39, 4 Eu 3.39
11 Cd 0.7500 0.2500 0.2500  4 Na 3.39, 4 Eu 3.39
12 Cd 0.7500 0.7500 0.7500  4 Na 3.39, 4 Eu 3.39
13 Bi 0.2500 0.2500 0.2500  4 Na 3.39, 4 Eu 3.39
14 Bi 0.2500 0.7500 0.7500  4 Na 3.39, 4 Eu 3.39
15 Bi 0.7500 0.2500 0.7500  4 Na 3.39, 4 Eu 3.39
16 Bi 0.7500 0.7500 0.2500  4 Na 3.39, 4 Eu 3.39

***

# 8
## NdEuCdBi (PBE)

Data for a relaxed NdEuCdBi crystal.

Electronic total energy   -5.471 eV per atom
Space group   No. 216
Calculated formation energy   -512 meV per atom

Cell lengths 7.8906, 7.8906, 7.8906 Å; angles 90.00, 90.00, 90.00 degrees
Last column: nearest neighbours and their distance in Å.
Atoms (fractional coordinates):
1 Nd 0.0000 0.0000 0.0000  4 Cd 3.42, 4 Bi 3.42
2 Nd 0.0000 0.5000 0.5000  4 Bi 3.42, 4 Cd 3.42
3 Nd 0.5000 0.0000 0.5000  4 Bi 3.42, 4 Cd 3.42
4 Nd 0.5000 0.5000 0.0000  4 Bi 3.42, 4 Cd 3.42
5 Eu 0.0000 0.0000 0.5000  4 Cd 3.42, 4 Bi 3.42
6 Eu 0.0000 0.5000 0.0000  4 Cd 3.42, 4 Bi 3.42
7 Eu 0.5000 0.0000 0.0000  4 Cd 3.42, 4 Bi 3.42
8 Eu 0.5000 0.5000 0.5000  4 Cd 3.42, 4 Bi 3.42
9 Cd 0.2500 0.2500 0.7500  4 Nd 3.42, 4 Eu 3.42
10 Cd 0.2500 0.7500 0.2500  4 Nd 3.42, 4 Eu 3.42
11 Cd 0.7500 0.2500 0.2500  4 Nd 3.42, 4 Eu 3.42
12 Cd 0.7500 0.7500 0.7500  4 Eu 3.42, 4 Nd 3.42
13 Bi 0.2500 0.2500 0.2500  4 Nd 3.42, 4 Eu 3.42
14 Bi 0.2500 0.7500 0.7500  4 Nd 3.42, 4 Eu 3.42
15 Bi 0.7500 0.2500 0.7500  4 Nd 3.42, 4 Eu 3.42
16 Bi 0.7500 0.7500 0.2500  4 Nd 3.42, 4 Eu 3.42

***

# 9
## EuCdBiPd (PBE)

Data for a relaxed EuCdBiPd crystal.

Electronic total energy   -5.478 eV per atom
Space group   No. 216
Calculated formation energy   -412 meV per atom

Cell lengths 7.3255, 7.3255, 7.3255 Å; angles 90.00, 90.00, 90.00 degrees
Last column: nearest neighbours and their distance in Å.
Atoms (fractional coordinates):
1 Eu 0.0000 0.0000 0.0000  4 Cd 3.17, 4 Pd 3.17
2 Eu 0.0000 0.5000 0.5000  4 Cd 3.17, 4 Pd 3.17
3 Eu 0.5000 0.0000 0.5000  4 Cd 3.17, 4 Pd 3.17
4 Eu 0.5000 0.5000 0.0000  4 Cd 3.17, 4 Pd 3.17
5 Cd 0.2500 0.2500 0.2500  4 Bi 3.17, 4 Eu 3.17
6 Cd 0.2500 0.7500 0.7500  4 Bi 3.17, 4 Eu 3.17
7 Cd 0.7500 0.2500 0.7500  4 Bi 3.17, 4 Eu 3.17
8 Cd 0.7500 0.7500 0.2500  4 Bi 3.17, 4 Eu 3.17
9 Bi 0.0000 0.0000 0.5000  4 Pd 3.17, 4 Cd 3.17
10 Bi 0.0000 0.5000 0.0000  4 Pd 3.17, 4 Cd 3.17
11 Bi 0.5000 0.0000 0.0000  4 Pd 3.17, 4 Cd 3.17
12 Bi 0.5000 0.5000 0.5000  4 Pd 3.17, 4 Cd 3.17
13 Pd 0.2500 0.2500 0.7500  4 Bi 3.17, 4 Eu 3.17
14 Pd 0.2500 0.7500 0.2500  4 Bi 3.17, 4 Eu 3.17
15 Pd 0.7500 0.2500 0.2500  4 Bi 3.17, 4 Eu 3.17
16 Pd 0.7500 0.7500 0.7500  4 Bi 3.17, 4 Eu 3.17

***

# 10
## EuPuCdBi (PBE)

Data for a relaxed EuPuCdBi crystal.

Electronic total energy   -7.705 eV per atom
Space group   No. 216
Calculated formation energy   -354 meV per atom

Cell lengths 7.8261, 7.8261, 7.8261 Å; angles 90.00, 90.00, 90.00 degrees
Last column: nearest neighbours and their distance in Å.
Atoms (fractional coordinates):
1 Eu 0.0000 0.0000 0.0000  4 Cd 3.39, 4 Bi 3.39
2 Eu 0.0000 0.5000 0.5000  4 Cd 3.39, 4 Bi 3.39
3 Eu 0.5000 0.0000 0.5000  4 Cd 3.39, 4 Bi 3.39
4 Eu 0.5000 0.5000 0.0000  4 Cd 3.39, 4 Bi 3.39
5 Pu 0.0000 0.0000 0.5000  4 Bi 3.39, 4 Cd 3.39
6 Pu 0.0000 0.5000 0.0000  4 Bi 3.39, 4 Cd 3.39
7 Pu 0.5000 0.0000 0.0000  4 Bi 3.39, 4 Cd 3.39
8 Pu 0.5000 0.5000 0.5000  4 Bi 3.39, 4 Cd 3.39
9 Cd 0.2500 0.2500 0.2500  4 Pu 3.39, 4 Eu 3.39
10 Cd 0.2500 0.7500 0.7500  4 Pu 3.39, 4 Eu 3.39
11 Cd 0.7500 0.2500 0.7500  4 Pu 3.39, 4 Eu 3.39
12 Cd 0.7500 0.7500 0.2500  4 Pu 3.39, 4 Eu 3.39
13 Bi 0.2500 0.2500 0.7500  4 Pu 3.39, 4 Eu 3.39
14 Bi 0.2500 0.7500 0.2500  4 Pu 3.39, 4 Eu 3.39
15 Bi 0.7500 0.2500 0.2500  4 Pu 3.39, 4 Eu 3.39
16 Bi 0.7500 0.7500 0.7500  4 Pu 3.39, 4 Eu 3.39

***

# 11
## EuScCdBi (PBE)

Data for a relaxed EuScCdBi crystal.

Electronic total energy   -5.736 eV per atom
Space group   No. 216
Calculated formation energy   -386 meV per atom

Cell lengths 7.5996, 7.5996, 7.5996 Å; angles 90.00, 90.00, 90.00 degrees
Last column: nearest neighbours and their distance in Å.
Atoms (fractional coordinates):
1 Eu 0.0000 0.0000 0.0000  4 Cd 3.29, 4 Bi 3.29
2 Eu 0.0000 0.5000 0.5000  4 Cd 3.29, 4 Bi 3.29
3 Eu 0.5000 0.0000 0.5000  4 Cd 3.29, 4 Bi 3.29
4 Eu 0.5000 0.5000 0.0000  4 Cd 3.29, 4 Bi 3.29
5 Sc 0.0000 0.0000 0.5000  4 Cd 3.29, 4 Bi 3.29
6 Sc 0.0000 0.5000 0.0000  4 Cd 3.29, 4 Bi 3.29
7 Sc 0.5000 0.0000 0.0000  4 Cd 3.29, 4 Bi 3.29
8 Sc 0.5000 0.5000 0.5000  4 Bi 3.29, 4 Cd 3.29
9 Cd 0.2500 0.2500 0.2500  4 Sc 3.29, 4 Eu 3.29
10 Cd 0.2500 0.7500 0.7500  4 Sc 3.29, 4 Eu 3.29
11 Cd 0.7500 0.2500 0.7500  4 Sc 3.29, 4 Eu 3.29
12 Cd 0.7500 0.7500 0.2500  4 Sc 3.29, 4 Eu 3.29
13 Bi 0.2500 0.2500 0.7500  4 Sc 3.29, 4 Eu 3.29
14 Bi 0.2500 0.7500 0.2500  4 Sc 3.29, 4 Eu 3.29
15 Bi 0.7500 0.2500 0.2500  4 Sc 3.29, 4 Eu 3.29
16 Bi 0.7500 0.7500 0.7500  4 Sc 3.29, 4 Eu 3.29

***

# 12
## EuTlCdBi (PBE)

Data for a relaxed EuTlCdBi crystal.

Electronic total energy   -4.676 eV per atom
Space group   No. 216
Calculated formation energy   -316 meV per atom

Cell lengths 7.9630, 7.9630, 7.9630 Å; angles 90.00, 90.00, 90.00 degrees
Last column: nearest neighbours and their distance in Å.
Atoms (fractional coordinates):
1 Eu 0.0000 0.0000 0.0000  4 Bi 3.45, 4 Cd 3.45
2 Eu 0.0000 0.5000 0.5000  4 Bi 3.45, 4 Cd 3.45
3 Eu 0.5000 0.0000 0.5000  4 Bi 3.45, 4 Cd 3.45
4 Eu 0.5000 0.5000 0.0000  4 Bi 3.45, 4 Cd 3.45
5 Tl 0.0000 0.0000 0.5000  4 Cd 3.45, 4 Bi 3.45
6 Tl 0.0000 0.5000 0.0000  4 Cd 3.45, 4 Bi 3.45
7 Tl 0.5000 0.0000 0.0000  4 Cd 3.45, 4 Bi 3.45
8 Tl 0.5000 0.5000 0.5000  4 Cd 3.45, 4 Bi 3.45
9 Cd 0.2500 0.2500 0.2500  4 Eu 3.45, 4 Tl 3.45
10 Cd 0.2500 0.7500 0.7500  4 Eu 3.45, 4 Tl 3.45
11 Cd 0.7500 0.2500 0.7500  4 Eu 3.45, 4 Tl 3.45
12 Cd 0.7500 0.7500 0.2500  4 Eu 3.45, 4 Tl 3.45
13 Bi 0.2500 0.2500 0.7500  4 Tl 3.45, 4 Eu 3.45
14 Bi 0.2500 0.7500 0.2500  4 Tl 3.45, 4 Eu 3.45
15 Bi 0.7500 0.2500 0.2500  4 Tl 3.45, 4 Eu 3.45
16 Bi 0.7500 0.7500 0.7500  4 Tl 3.45, 4 Eu 3.45